Compound: AlTlAgF2
Source: Alexandria via LeMat-Bulk
Functional: PBE
Structure: relaxed

abc: 3.8555 6.0705 3.8555
angles: 90.00 90.00 90.00
Last column: nearest neighbours and their distance in Å.
Fractional positions:
F1 0.0000 0.0000 0.5000  2 Al 1.93
F2 0.5000 0.0000 0.0000  2 Al 1.93
Ag1 0.5000 0.5000 0.5000  4 Tl 2.73
Al1 0.0000 0.0000 0.0000  4 F 1.93
Tl1 0.0000 0.5000 0.0000  4 Ag 2.73, 2 Al 3.04

Summary:
Formation energy (no corrections)   -1.324 eV per atom

***

Compound: NdMgGe2Pt5
Source: Alexandria via LeMat-Bulk
Functional: PBE
Structure: relaxed

abc: 4.2532 4.2532 9.1327
angles: 90.00 90.00 90.00
Last column: nearest neighbours and their distance in Å.
Fractional positions:
Pt1 0.5000 0.5000 0.5000  4 Nd 3.01, 8 Pt 3.02
Pt2 0.0000 0.5000 0.2650  2 Ge 2.46
Pt3 0.5000 0.0000 0.7350  2 Ge 2.46
Pt4 0.5000 0.0000 0.2650  2 Ge 2.46
Pt5 0.0000 0.5000 0.7350  2 Ge 2.46
Nd1 0.0000 0.0000 0.5000  12 Pt 3.01-3.02
Mg1 0.0000 0.0000 0.0000  8 Pt 3.22, 8 Ge 3.23
Ge1 0.5000 0.5000 0.1297  1 Ge 2.37, 4 Pt 2.46
Ge2 0.5000 0.5000 0.8703  1 Ge 2.37, 4 Pt 2.46

Summary:
Formation energy from the elements   -0.67 eV/atom

***

Compound: MgSi3B
Source: Alexandria via LeMat-Bulk
Functional: PBE
Structure: relaxed

abc: 4.8546 4.8546 4.8546
angles: 90.00 90.00 90.00
Last column: nearest neighbours and their distance in Å.
Fractional positions:
Si1 0.0000 0.5000 0.0000  2 Mg 2.43
Si2 0.0000 0.0000 0.5000  2 Mg 2.43
Si3 0.5000 0.0000 0.0000  2 Mg 2.43
Mg1 0.0000 0.0000 0.0000  6 Si 2.43
B1 0.5000 0.5000 0.5000  12 Si 3.43

Summary:
Formation energy (no corrections)   1.990 eV per atom
Energy relative to the lowest polymorph listed for this composition   1.368 eV/atom